No. 1
The following is a PBEsol calculation of crystalline NbGa3 at its relaxed geometry, from Alexandria.

Summary:
formation energy from the elements = -0.377 eV/atom
V = 61.9 Å³/f.u.
VASP energy = -0.205 hartree per atom

CIF file:
```
data_NbGa3
_chemical_formula_sum 'Nb2 Ga6'
_cell_length_a 3.775
_cell_length_b 3.775
_cell_length_c 8.679
_cell_angle_alpha 90.00
_cell_angle_beta 90.00
_cell_angle_gamma 90.00
_space_group_name_H-M_alt 'I 4/m m m'
_space_group_IT_number 139
_space_group_name_Hall '-I 4 2'
loop_
_atom_site_label
_atom_site_type_symbol
_atom_site_fract_x
_atom_site_fract_y
_atom_site_fract_z
Nb1 Nb 0.000 0.000 0.000
Ga1 Ga 0.000 0.000 0.500
Ga2 Ga 0.000 0.500 0.250
```



No. 2
The following is a PBEsol calculation of crystalline TiFeO3 at its relaxed geometry, from Alexandria.

Summary:
V = 50.5 Å³/f.u.
VASP energy = -0.323 hartree per atom

CIF file:
```
data_TiFeO3
_chemical_formula_sum 'Ti6 Fe6 O18'
_cell_length_a 5.0365
_cell_length_b 5.0365
_cell_length_c 13.8039
_cell_angle_alpha 90.00
_cell_angle_beta 90.00
_cell_angle_gamma 120.00
_space_group_name_H-M_alt 'R 3 c'
_space_group_IT_number 161
_space_group_name_Hall 'R 3 -2"c'
loop_
_atom_site_label
_atom_site_type_symbol
_atom_site_fract_x
_atom_site_fract_y
_atom_site_fract_z
Ti1 Ti 0.0000 0.0000 0.0000
Fe1 Fe 0.0000 0.0000 0.2046
O1 O 0.0133 0.3668 0.2671
```



No. 3
The following is a PBEsol calculation of crystalline HgOsO3 at its relaxed geometry, from Alexandria.

Summary:
V = 69.9 Å³/f.u.
VASP energy = -0.156 hartree per atom

CIF file:
```
data_HgOsO3
_chemical_formula_sum 'Hg1 Os1 O3'
_cell_length_a 4.119
_cell_length_b 4.119
_cell_length_c 4.119
_cell_angle_alpha 90.00
_cell_angle_beta 90.00
_cell_angle_gamma 90.00
_space_group_name_H-M_alt 'P m -3 m'
_space_group_IT_number 221
_space_group_name_Hall '-P 4 2 3'
loop_
_atom_site_label
_atom_site_type_symbol
_atom_site_fract_x
_atom_site_fract_y
_atom_site_fract_z
Hg1 Hg 0.000 0.000 0.000
Os1 Os 0.500 0.500 0.500
O1 O 0.000 0.000 0.500
```



No. 4
The following is a PBEsol calculation of crystalline Zr3In at its relaxed geometry, from Alexandria.

Summary:
formation energy from the elements = -0.257 eV/atom
V = 86.3 Å³/f.u.
VASP energy = -0.287 hartree per atom

CIF file:
```
data_Zr3In
_chemical_formula_sum 'Zr6 In2'
_cell_length_a 4.322
_cell_length_b 4.322
_cell_length_c 9.242
_cell_angle_alpha 90.00
_cell_angle_beta 90.00
_cell_angle_gamma 90.00
_space_group_name_H-M_alt 'I 4/m m m'
_space_group_IT_number 139
_space_group_name_Hall '-I 4 2'
loop_
_atom_site_label
_atom_site_type_symbol
_atom_site_fract_x
_atom_site_fract_y
_atom_site_fract_z
Zr1 Zr 0.000 0.000 0.000
Zr2 Zr 0.000 0.500 0.250
In1 In 0.000 0.000 0.500
```